No. 1
First-principles (PBE) data for a relaxed structure of HoMg2Sn4, as listed in Alexandria.

Computed properties:
M_tot = 0.0 μB per formula unit
DFT total energy = -25.711 eV/cell
DOS at the Fermi energy = 2.1 states/eV/f.u.

Lattice parameters (Å, degrees): 4.472 6.441 6.441 90.80 90.00 90.00
Element x y z (fractional)
Ho  0.500  0.500  0.500
Sn  0.500  0.500  0.000
Sn  0.000  0.252  0.252
Sn  0.500  0.000  0.500
Sn  0.000  0.748  0.748
Mg  0.000  0.787  0.213
Mg  0.000  0.213  0.787

No. 2
First-principles (PBE) data for a relaxed structure of SrHoMgSn, as listed in Alexandria.

Computed properties:
M_tot = 0.0 μB per formula unit
DFT total energy = -13.100 eV/cell
DOS at the Fermi energy = 3.2 states/eV/f.u.

Lattice parameters (Å, degrees): 5.499 5.499 5.499 60.00 60.00 60.00
Element x y z (fractional)
Mg  0.250  0.250  0.250
Sr  0.500  0.500  0.500
Ho  0.000  0.000  0.000
Sn  0.750  0.750  0.750

No. 3
First-principles (PBE) data for a relaxed structure of HoThMgSn, as listed in Alexandria.

Computed properties:
M_tot = 0.0 μB per formula unit
DFT total energy = -18.606 eV/cell
DOS at the Fermi energy = 2.9 states/eV/f.u.

Lattice parameters (Å, degrees): 5.381 5.381 5.381 60.00 60.00 60.00
Element x y z (fractional)
Th  0.250  0.250  0.250
Sn  0.000  0.000  0.000
Ho  0.750  0.750  0.750
Mg  0.500  0.500  0.500

No. 4
First-principles (PBE) data for a relaxed structure of YHoMgSn, as listed in Alexandria.

Computed properties:
M_tot = 0.0 μB per formula unit
DFT total energy = -18.259 eV/cell
DOS at the Fermi energy = 3.9 states/eV/f.u.

Lattice parameters (Å, degrees): 5.289 5.289 5.289 60.00 60.00 60.00
Element x y z (fractional)
Ho  0.250  0.250  0.250
Mg  0.000  0.000  0.000
Y  0.750  0.750  0.750
Sn  0.500  0.500  0.500

No. 5
First-principles (PBE) data for a relaxed structure of Sr4HoMg5, as listed in Alexandria.

Computed properties:
M_tot = 0.1 μB per formula unit
DFT total energy = -19.728 eV/cell
DOS at the Fermi energy = 9.8 states/eV/f.u.

Lattice parameters (Å, degrees): 4.054 4.054 20.903 90.00 90.00 90.00
Element x y z (fractional)
Mg  0.500  0.500  0.292
Mg  0.500  0.500  0.500
Sr  0.000  0.000  0.605
Ho  0.000  0.000  0.000
Mg  0.500  0.500  0.708
Sr  0.000  0.000  0.813
Mg  0.500  0.500  0.920
Sr  0.000  0.000  0.395
Sr  0.000  0.000  0.187
Mg  0.500  0.500  0.080

No. 6
First-principles (PBE) data for a relaxed structure of Sr3HoMg4, as listed in Alexandria.

Computed properties:
M_tot = 0.1 μB per formula unit
DFT total energy = -16.350 eV/cell
DOS at the Fermi energy = 8.0 states/eV/f.u.

Lattice parameters (Å, degrees): 4.013 4.013 16.817 90.00 90.00 90.00
Element x y z (fractional)
Mg  0.000  0.000  0.367
Ho  0.500  0.500  0.000
Mg  0.000  0.000  0.898
Sr  0.500  0.500  0.765
Mg  0.000  0.000  0.102
Sr  0.500  0.500  0.500
Mg  0.000  0.000  0.633
Sr  0.500  0.500  0.235

- Which value of DFT total energy does entry 5 give?
  -19.728 eV/cell

- Among the records above, which one has the lowest DOS at the Fermi energy?
  HoMg2Sn4

Please write out number 6 again, unchanged.
First-principles (PBE) data for a relaxed structure of Sr3HoMg4, as listed in Alexandria.

Computed properties:
M_tot = 0.1 μB per formula unit
DFT total energy = -16.350 eV/cell
DOS at the Fermi energy = 8.0 states/eV/f.u.

Lattice parameters (Å, degrees): 4.013 4.013 16.817 90.00 90.00 90.00
Element x y z (fractional)
Mg  0.000  0.000  0.367
Ho  0.500  0.500  0.000
Mg  0.000  0.000  0.898
Sr  0.500  0.500  0.765
Mg  0.000  0.000  0.102
Sr  0.500  0.500  0.500
Mg  0.000  0.000  0.633
Sr  0.500  0.500  0.235